Record 1
{
  "formula": "Li2Cr3FeO8",
  "functional": "meta-GGA SCAN",
  "state": "single point on PBEsol structure",
  "space_group": "R-3m, No. 166",
  "e_form_raw_ev_per_atom": -2.24,
  "lattice": [[2.8848, 1.6655, 4.6299], [-2.8848, 1.6655, 4.6299], [0.0000, -3.3311, 4.6299]],
  "species": ["Li", "Li", "Cr", "Cr", "Cr", "Fe", "O", "O", "O", "O", "O", "O", "O", "O"],
  "frac_coords": [[0.1255, 0.1255, 0.1255], [0.8745, 0.8745, 0.8745], [0.0000, 0.5000, 0.5000], [0.5000, 0.0000, 0.5000], [0.5000, 0.5000, 0.0000], [0.5000, 0.5000, 0.5000], [0.2627, 0.2627, 0.2627], [0.2650, 0.2650, 0.7119], [0.2650, 0.7119, 0.2650], [0.2881, 0.7350, 0.7350], [0.7119, 0.2650, 0.2650], [0.7350, 0.2881, 0.7350], [0.7350, 0.7350, 0.2881], [0.7373, 0.7373, 0.7373]]
}



Record 2
{
  "formula": "Cs2AuBr",
  "functional": "meta-GGA SCAN",
  "state": "single point on PBEsol structure",
  "space_group": "I-42d, No. 122",
  "e_form_raw_ev_per_atom": -1.04,
  "lattice": [[-4.0136, 4.0136, 7.8905], [4.0136, -4.0136, 7.8905], [4.0136, 4.0136, -7.8905]],
  "species": ["Cs", "Cs", "Cs", "Cs", "Au", "Au", "Br", "Br"],
  "frac_coords": [[0.1234, 0.6250, 0.9984], [0.3750, 0.3734, 0.4984], [0.6266, 0.1250, 0.0016], [0.8750, 0.8766, 0.5016], [0.0000, 0.0000, 0.0000], [0.7500, 0.2500, 0.5000], [0.2500, 0.7500, 0.5000], [0.5000, 0.5000, 0.0000]]
}



Number 1: M_tot 10.205 μB per formula unit, E_tot -11.375 eV/atom. Number 2: M_tot 0.001 μB per formula unit, E_tot -42.102 eV/atom.